# 1
DFT (PBE-GGA) results for a relaxed structure of Tb3PrNd4Se8.

Unit cell a=8.344 b=8.405 c=8.347 alpha=119.79 beta=119.99 gamma=90.00
Atoms (fractional coordinates):
Se 0.251 0.742 0.502
Nd 0.000 0.000 0.000
Se 0.254 0.263 0.509
Tb 0.500 0.500 0.500
Se 0.740 0.742 0.991
Nd 0.000 0.000 0.500
Tb 0.000 0.500 0.500
Nd 0.500 0.000 0.500
Se 0.746 0.737 0.491
Se 0.749 0.258 0.009
Tb 0.500 0.500 0.000
Nd 0.500 0.000 0.000
Se 0.260 0.258 0.009
Se 0.749 0.258 0.498
Se 0.251 0.742 0.991
Pr 0.000 0.500 0.000

The total energy is -5.9094 eV/atom. Its energy relative to the elements, uncorrected is -174 kJ per mole of atoms. The density comes out at 7.30 g/cm3. As for the space group: R-3m, No. 166.


# 2
DFT (PBE-GGA) results for a relaxed structure of TaRe2Tc.

Unit cell a=4.029 b=3.949 c=3.949 alpha=90.00 beta=90.00 gamma=90.00
Atoms (fractional coordinates):
Ta 0.500 0.500 0.000
Re 0.000 0.500 0.500
Re 0.000 0.000 0.000
Tc 0.500 0.000 0.500

The total energy is -11.7179 eV/atom. Its formation enthalpy at 0 K is 61 meV per atom. The density comes out at 17.22 g/cm3. As for the relative energy among the computed polymorphs: 0.131 eV/atom. As for the space group: P4/mmm, No. 123.


# 3
DFT (PBE-GGA) results for a relaxed structure of RbTaIN2.

Unit cell a=4.308 b=4.308 c=5.993 alpha=90.00 beta=90.00 gamma=90.00
Atoms (fractional coordinates):
N 0.500 0.000 0.000
Ta 0.500 0.500 0.500
N 0.000 0.500 0.000
Rb 0.000 0.000 0.000
I 0.000 0.000 0.500

The total energy is -3.1520 eV/atom. Its energy relative to the elements, uncorrected is 294 kJ per mole of atoms. The density comes out at 6.29 g/cm3. As for the relative energy among the computed polymorphs: 2.967 eV/atom. As for the space group: P4/mmm, No. 123.


# 4
DFT (PBE-GGA) results for a relaxed structure of Li4U3ZnSe8.

Unit cell a=7.994 b=8.002 c=7.994 alpha=119.97 beta=120.00 gamma=90.00
Atoms (fractional coordinates):
Li 0.000 0.000 0.500
Li 0.500 0.000 0.000
U 0.500 0.500 0.500
Se 0.755 0.249 0.994
Se 0.246 0.237 0.491
U 0.000 0.500 0.500
Se 0.755 0.249 0.510
U 0.500 0.500 0.000
Se 0.761 0.751 0.006
Zn 0.000 0.500 0.000
Se 0.245 0.751 0.490
Li 0.000 0.000 0.000
Se 0.239 0.249 0.994
Se 0.245 0.751 0.006
Se 0.754 0.763 0.509
Li 0.500 0.000 0.500

The total energy is -5.5030 eV/atom. Its energy relative to the elements, uncorrected is -105 kJ per mole of atoms. The density comes out at 6.61 g/cm3. As for the space group: R-3m, No. 166.